Material: Ag2Hg
Method: DFT, meta-GGA SCAN
State: single point on PBEsol structure

The structure in CIF format:
```
data_Ag2Hg
_chemical_formula_sum 'Ag4 Hg2'
_symmetry_space_group_name_H-M 'I 4/m m m'
_symmetry_Int_Tables_number 139
_symmetry_space_group_name_Hall '-I 4 2'
_cell_length_a 2.9749
_cell_length_b 2.9749
_cell_length_c 12.1717
_cell_angle_alpha 90.00
_cell_angle_beta 90.00
_cell_angle_gamma 90.00
loop_
_atom_site_label
_atom_site_type_symbol
_atom_site_fract_x
_atom_site_fract_y
_atom_site_fract_z
_atom_site_occupancy
Ag1 Ag 0.0000 0.0000 0.1712 1
Hg1 Hg 0.0000 0.0000 0.5000 1
```

**Energy above the most stable polymorph in this dataset**: 11 meV/atom
**D(E_F)**: 1.522 states/eV per cell

Material: Tl2CoPt
Method: DFT, meta-GGA SCAN
State: single point on PBEsol structure

The structure in CIF format:
```
data_Tl2CoPt
_chemical_formula_sum 'Tl2 Co1 Pt1'
_symmetry_space_group_name_H-M 'P m m 2'
_symmetry_Int_Tables_number 25
_cell_length_a 2.9697
_cell_length_b 3.4068
_cell_length_c 7.7079
_cell_angle_alpha 90.00
_cell_angle_beta 90.00
_cell_angle_gamma 90.00
loop_
_symmetry_equiv_pos_as_xyz
'x,y,z'
'-x,-y,z'
'-x,y,z'
'x,-y,z'
loop_
_atom_site_label
_atom_site_type_symbol
_atom_site_fract_x
_atom_site_fract_y
_atom_site_fract_z
_atom_site_occupancy
Tl1 Tl 0.0000 0.0000 0.0000 1
Tl2 Tl 0.5000 0.5000 0.3516 1
Co1 Co 0.5000 0.5000 0.7576 1
Pt1 Pt 0.0000 0.0000 0.6124 1
```

**D(E_F)**: 2.504 states/eV per cell

Material: Hg3SbC
Method: DFT, meta-GGA SCAN
State: single point on PBEsol structure

The structure in CIF format:
```
data_Hg3SbC
_chemical_formula_sum 'Hg3 Sb1 C1'
_symmetry_space_group_name_H-M 'P m -3 m'
_symmetry_Int_Tables_number 221
_symmetry_space_group_name_Hall '-P 4 2 3'
_cell_length_a 5.6023
_cell_length_b 5.6023
_cell_length_c 5.6023
_cell_angle_alpha 90.00
_cell_angle_beta 90.00
_cell_angle_gamma 90.00
loop_
_atom_site_label
_atom_site_type_symbol
_atom_site_fract_x
_atom_site_fract_y
_atom_site_fract_z
_atom_site_occupancy
Hg1 Hg 0.0000 0.0000 0.5000 1
Sb1 Sb 0.0000 0.0000 0.0000 1
C1 C 0.5000 0.5000 0.5000 1
```

**D(E_F)**: 5.661 states/eV per cell
**Uncorrected formation energy**: 7.43 eV per formula unit

Material: MnP2Br
Method: DFT, meta-GGA SCAN
State: single point on PBEsol structure

The structure in CIF format:
```
data_MnP2Br
_chemical_formula_sum 'Mn1 P2 Br1'
_symmetry_space_group_name_H-M 'P 1 2/m 1'
_symmetry_Int_Tables_number 10
_cell_length_a 3.5056
_cell_length_b 4.3699
_cell_length_c 5.2437
_cell_angle_alpha 90.00
_cell_angle_beta 109.37
_cell_angle_gamma 90.00
loop_
_symmetry_equiv_pos_as_xyz
'x,y,z'
'-x,-y,-z'
'-x,y,-z'
'x,-y,z'
loop_
_atom_site_label
_atom_site_type_symbol
_atom_site_fract_x
_atom_site_fract_y
_atom_site_fract_z
_atom_site_occupancy
Mn1 Mn 0.0000 0.0000 0.0000 1
P1 P 0.3246 0.5000 0.1458 1
Br1 Br 0.0000 0.0000 0.5000 1
```

**Energy above the most stable polymorph in this dataset**: 0 meV/atom
**D(E_F)**: 1.075 states/eV per cell
**Uncorrected formation energy**: -0.73 eV per formula unit

Material: AlCSe2
Method: DFT, meta-GGA SCAN
State: single point on PBEsol structure

The structure in CIF format:
```
data_AlCSe2
_chemical_formula_sum 'Al4 C4 Se8'
_symmetry_space_group_name_H-M 'I -4 2 d'
_symmetry_Int_Tables_number 122
_symmetry_space_group_name_Hall 'I -4 2bw'
_cell_length_a 4.9585
_cell_length_b 4.9585
_cell_length_c 12.4065
_cell_angle_alpha 90.00
_cell_angle_beta 90.00
_cell_angle_gamma 90.00
loop_
_atom_site_label
_atom_site_type_symbol
_atom_site_fract_x
_atom_site_fract_y
_atom_site_fract_z
_atom_site_occupancy
Al1 Al 0.0000 0.0000 0.0000 1
C1 C 0.0000 0.0000 0.5000 1
Se1 Se 0.2013 0.2500 0.6250 1
```

**D(E_F)**: 6.142 states/eV per cell
**Uncorrected formation energy**: 3.36 eV per formula unit

Material: Co2SbO2
Method: DFT, meta-GGA SCAN
State: single point on PBEsol structure

The structure in CIF format:
```
data_Co2SbO2
_chemical_formula_sum 'Co4 Sb2 O4'
_symmetry_space_group_name_H-M 'P 4/m b m'
_symmetry_Int_Tables_number 127
_symmetry_space_group_name_Hall '-P 4 2ab'
_cell_length_a 6.6800
_cell_length_b 6.6800
_cell_length_c 3.3336
_cell_angle_alpha 90.00
_cell_angle_beta 90.00
_cell_angle_gamma 90.00
loop_
_atom_site_label
_atom_site_type_symbol
_atom_site_fract_x
_atom_site_fract_y
_atom_site_fract_z
_atom_site_occupancy
Co1 Co 0.1348 0.3652 0.0000 1
Sb1 Sb 0.0000 0.0000 0.0000 1
O1 O 0.1373 0.3627 0.5000 1
```

**D(E_F)**: 7.697 states/eV per cell
**Uncorrected formation energy**: -1.59 eV per formula unit

Material: KGePb2C
Method: DFT, meta-GGA SCAN
State: single point on PBEsol structure

The structure in CIF format:
```
data_KGePb2C
_chemical_formula_sum 'K1 Ge1 Pb2 C1'
_symmetry_space_group_name_H-M 'P 4/m m m'
_symmetry_Int_Tables_number 123
_symmetry_space_group_name_Hall '-P 4 2'
_cell_length_a 5.8580
_cell_length_b 5.8580
_cell_length_c 5.3578
_cell_angle_alpha 90.00
_cell_angle_beta 90.00
_cell_angle_gamma 90.00
loop_
_atom_site_label
_atom_site_type_symbol
_atom_site_fract_x
_atom_site_fract_y
_atom_site_fract_z
_atom_site_occupancy
K1 K 0.0000 0.0000 0.0000 1
Ge1 Ge 0.0000 0.0000 0.5000 1
Pb1 Pb 0.0000 0.5000 0.0000 1
C1 C 0.5000 0.5000 0.5000 1
```

**D(E_F)**: 3.904 states/eV per cell

Material: CrO
Method: DFT, meta-GGA SCAN
State: single point on PBEsol structure

The structure in CIF format:
```
data_CrO
_chemical_formula_sum 'Cr2 O2'
_symmetry_space_group_name_H-M 'P 42/m m c'
_symmetry_Int_Tables_number 131
_symmetry_space_group_name_Hall '-P 4c 2'
_cell_length_a 2.9598
_cell_length_b 2.9598
_cell_length_c 5.1007
_cell_angle_alpha 90.00
_cell_angle_beta 90.00
_cell_angle_gamma 90.00
loop_
_atom_site_label
_atom_site_type_symbol
_atom_site_fract_x
_atom_site_fract_y
_atom_site_fract_z
_atom_site_occupancy
Cr1 Cr 0.0000 0.5000 0.0000 1
O1 O 0.0000 0.0000 0.2500 1
```

**D(E_F)**: 0.815 states/eV per cell
**Uncorrected formation energy**: -3.84 eV per formula unit

Material: ZrTeP
Method: DFT, meta-GGA SCAN
State: single point on PBEsol structure

The structure in CIF format:
```
data_ZrTeP
_chemical_formula_sum 'Zr4 Te4 P4'
_symmetry_space_group_name_H-M 'F -4 3 m'
_symmetry_Int_Tables_number 216
_symmetry_space_group_name_Hall 'F -4 2 3'
_cell_length_a 6.6230
_cell_length_b 6.6230
_cell_length_c 6.6230
_cell_angle_alpha 90.00
_cell_angle_beta 90.00
_cell_angle_gamma 90.00
loop_
_atom_site_label
_atom_site_type_symbol
_atom_site_fract_x
_atom_site_fract_y
_atom_site_fract_z
_atom_site_occupancy
Zr1 Zr 0.0000 0.0000 0.0000 1
Te1 Te 0.2500 0.2500 0.2500 1
P1 P 0.2500 0.2500 0.7500 1
```

**D(E_F)**: 5.410 states/eV per cell
**Uncorrected formation energy**: -1.21 eV per formula unit

Material: SiPtI2
Method: DFT, meta-GGA SCAN
State: single point on PBEsol structure

The structure in CIF format:
```
data_SiPtI2
_chemical_formula_sum 'Si4 Pt4 I8'
_symmetry_space_group_name_H-M 'F m -3 m'
_symmetry_Int_Tables_number 225
_symmetry_space_group_name_Hall '-F 4 2 3'
_cell_length_a 7.0640
_cell_length_b 7.0640
_cell_length_c 7.0640
_cell_angle_alpha 90.00
_cell_angle_beta 90.00
_cell_angle_gamma 90.00
loop_
_atom_site_label
_atom_site_type_symbol
_atom_site_fract_x
_atom_site_fract_y
_atom_site_fract_z
_atom_site_occupancy
Si1 Si 0.0000 0.0000 0.0000 1
Pt1 Pt 0.0000 0.0000 0.5000 1
I1 I 0.2500 0.2500 0.2500 1
```

**D(E_F)**: 5.355 states/eV per cell
**Uncorrected formation energy**: 3.90 eV per formula unit

Material: YGa2Co2
Method: DFT, meta-GGA SCAN
State: single point on PBEsol structure

The structure in CIF format:
```
data_YGa2Co2
_chemical_formula_sum 'Y2 Ga4 Co4'
_symmetry_space_group_name_H-M 'I 4/m m m'
_symmetry_Int_Tables_number 139
_symmetry_space_group_name_Hall '-I 4 2'
_cell_length_a 3.9864
_cell_length_b 3.9864
_cell_length_c 9.7072
_cell_angle_alpha 90.00
_cell_angle_beta 90.00
_cell_angle_gamma 90.00
loop_
_atom_site_label
_atom_site_type_symbol
_atom_site_fract_x
_atom_site_fract_y
_atom_site_fract_z
_atom_site_occupancy
Y1 Y 0.0000 0.0000 0.0000 1
Ga1 Ga 0.0000 0.5000 0.2500 1
Co1 Co 0.0000 0.0000 0.3899 1
```

**D(E_F)**: 7.489 states/eV per cell

Material: BaTcAs
Method: DFT, meta-GGA SCAN
State: single point on PBEsol structure

The structure in CIF format:
```
data_BaTcAs
_chemical_formula_sum 'Ba2 Tc2 As2'
_symmetry_space_group_name_H-M 'I 4 m m'
_symmetry_Int_Tables_number 107
_symmetry_space_group_name_Hall 'I 4 -2'
_cell_length_a 3.3271
_cell_length_b 3.3271
_cell_length_c 11.8027
_cell_angle_alpha 90.00
_cell_angle_beta 90.00
_cell_angle_gamma 90.00
loop_
_atom_site_label
_atom_site_type_symbol
_atom_site_fract_x
_atom_site_fract_y
_atom_site_fract_z
_atom_site_occupancy
Ba1 Ba 0.0000 0.0000 0.0000 1
Tc1 Tc 0.0000 0.0000 0.2952 1
As1 As 0.0000 0.0000 0.7144 1
```

**D(E_F)**: 1.762 states/eV per cell

Material: Ba2TaP
Method: DFT, meta-GGA SCAN
State: single point on PBEsol structure

The structure in CIF format:
```
data_Ba2TaP
_chemical_formula_sum 'Ba8 Ta4 P4'
_symmetry_space_group_name_H-M 'F -4 3 m'
_symmetry_Int_Tables_number 216
_symmetry_space_group_name_Hall 'F -4 2 3'
_cell_length_a 7.4784
_cell_length_b 7.4784
_cell_length_c 7.4784
_cell_angle_alpha 90.00
_cell_angle_beta 90.00
_cell_angle_gamma 90.00
loop_
_atom_site_label
_atom_site_type_symbol
_atom_site_fract_x
_atom_site_fract_y
_atom_site_fract_z
_atom_site_occupancy
Ba1 Ba 0.0000 0.0000 0.0000 1
Ba2 Ba 0.2500 0.2500 0.2500 1
Ta1 Ta 0.2500 0.2500 0.7500 1
P1 P 0.0000 0.0000 0.5000 1
```

**D(E_F)**: 12.281 states/eV per cell

Material: SiS2NO
Method: DFT, meta-GGA SCAN
State: single point on PBEsol structure

The structure in CIF format:
```
data_SiS2NO
_chemical_formula_sum 'Si1 S2 N1 O1'
_symmetry_space_group_name_H-M 'P 4/m m m'
_symmetry_Int_Tables_number 123
_symmetry_space_group_name_Hall '-P 4 2'
_cell_length_a 4.1306
_cell_length_b 4.1306
_cell_length_c 3.6472
_cell_angle_alpha 90.00
_cell_angle_beta 90.00
_cell_angle_gamma 90.00
loop_
_atom_site_label
_atom_site_type_symbol
_atom_site_fract_x
_atom_site_fract_y
_atom_site_fract_z
_atom_site_occupancy
Si1 Si 0.0000 0.0000 0.0000 1
S1 S 0.0000 0.5000 0.5000 1
N1 N 0.5000 0.5000 0.0000 1
O1 O 0.5000 0.5000 0.5000 1
```

**D(E_F)**: 2.481 states/eV per cell
**Uncorrected formation energy**: 8.01 eV per formula unit

Material: NdCu3Se2ClO8
Method: DFT, meta-GGA SCAN
State: single point on PBEsol structure

The structure in CIF format:
```
data_NdCu3Se2ClO8
_chemical_formula_sum 'Nd2 Cu6 Se4 Cl2 O16'
_symmetry_space_group_name_H-M 'P m m n'
_symmetry_Int_Tables_number 59
_cell_length_a 6.3307
_cell_length_b 9.6251
_cell_length_c 7.0340
_cell_angle_alpha 90.00
_cell_angle_beta 90.00
_cell_angle_gamma 90.00
loop_
_symmetry_equiv_pos_as_xyz
'x,y,z'
'-x,-y,-z'
'-x+1/2,-y+1/2,z'
'x+1/2,y+1/2,-z'
'x+1/2,-y,-z'
'-x+1/2,y,z'
'-x,y+1/2,-z'
'x,-y+1/2,z'
loop_
_atom_site_label
_atom_site_type_symbol
_atom_site_fract_x
_atom_site_fract_y
_atom_site_fract_z
_atom_site_occupancy
Nd1 Nd 0.2500 0.2500 0.2338 1
Cu1 Cu 0.0000 0.0000 0.5000 1
Cu2 Cu 0.2500 0.2500 0.7041 1
Se1 Se 0.2500 0.5560 0.9070 1
Cl1 Cl 0.2500 0.7500 0.3508 1
O1 O 0.0380 0.5838 0.7577 1
O2 O 0.2500 0.1094 0.5095 1
O3 O 0.2500 0.1225 0.9211 1
```

**Uncorrected formation energy**: -21.23 eV per formula unit

Material: BaNbSbTe2
Method: DFT, meta-GGA SCAN
State: single point on PBEsol structure

The structure in CIF format:
```
data_BaNbSbTe2
_chemical_formula_sum 'Ba1 Nb1 Sb1 Te2'
_symmetry_space_group_name_H-M 'P 4/m m m'
_symmetry_Int_Tables_number 123
_symmetry_space_group_name_Hall '-P 4 2'
_cell_length_a 6.1155
_cell_length_b 6.1155
_cell_length_c 5.9448
_cell_angle_alpha 90.00
_cell_angle_beta 90.00
_cell_angle_gamma 90.00
loop_
_atom_site_label
_atom_site_type_symbol
_atom_site_fract_x
_atom_site_fract_y
_atom_site_fract_z
_atom_site_occupancy
Ba1 Ba 0.0000 0.0000 0.0000 1
Nb1 Nb 0.5000 0.5000 0.5000 1
Sb1 Sb 0.0000 0.0000 0.5000 1
Te1 Te 0.0000 0.5000 0.0000 1
```

**D(E_F)**: 6.747 states/eV per cell
**Uncorrected formation energy**: 6.24 eV per formula unit

Material: Ta2TiRe
Method: DFT, meta-GGA SCAN
State: single point on PBEsol structure

The structure in CIF format:
```
data_Ta2TiRe
_chemical_formula_sum 'Ta8 Ti4 Re4'
_symmetry_space_group_name_H-M 'F m -3 m'
_symmetry_Int_Tables_number 225
_symmetry_space_group_name_Hall '-F 4 2 3'
_cell_length_a 6.3702
_cell_length_b 6.3702
_cell_length_c 6.3702
_cell_angle_alpha 90.00
_cell_angle_beta 90.00
_cell_angle_gamma 90.00
loop_
_atom_site_label
_atom_site_type_symbol
_atom_site_fract_x
_atom_site_fract_y
_atom_site_fract_z
_atom_site_occupancy
Ta1 Ta 0.2500 0.2500 0.2500 1
Ti1 Ti 0.0000 0.0000 0.0000 1
Re1 Re 0.0000 0.0000 0.5000 1
```

**D(E_F)**: 20.508 states/eV per cell

Material: ScCoSe2
Method: DFT, meta-GGA SCAN
State: single point on PBEsol structure

The structure in CIF format:
```
data_ScCoSe2
_chemical_formula_sum 'Sc3 Co3 Se6'
_symmetry_space_group_name_H-M 'R -3 m'
_symmetry_Int_Tables_number 166
_symmetry_space_group_name_Hall '-R 3 2"'
_cell_length_a 3.7934
_cell_length_b 3.7934
_cell_length_c 16.9268
_cell_angle_alpha 90.00
_cell_angle_beta 90.00
_cell_angle_gamma 120.00
loop_
_atom_site_label
_atom_site_type_symbol
_atom_site_fract_x
_atom_site_fract_y
_atom_site_fract_z
_atom_site_occupancy
Sc1 Sc 0.0000 0.0000 0.0000 1
Co1 Co 0.0000 0.0000 0.5000 1
Se1 Se 0.0000 0.0000 0.2407 1
```

**Energy above the most stable polymorph in this dataset**: 0 meV/atom
**Uncorrected formation energy**: -4.42 eV per formula unit

Material: CdSi2Se
Method: DFT, meta-GGA SCAN
State: single point on PBEsol structure

The structure in CIF format:
```
data_CdSi2Se
_chemical_formula_sum 'Cd4 Si8 Se4'
_symmetry_space_group_name_H-M 'F m -3 m'
_symmetry_Int_Tables_number 225
_symmetry_space_group_name_Hall '-F 4 2 3'
_cell_length_a 6.6769
_cell_length_b 6.6769
_cell_length_c 6.6769
_cell_angle_alpha 90.00
_cell_angle_beta 90.00
_cell_angle_gamma 90.00
loop_
_atom_site_label
_atom_site_type_symbol
_atom_site_fract_x
_atom_site_fract_y
_atom_site_fract_z
_atom_site_occupancy
Cd1 Cd 0.0000 0.0000 0.0000 1
Si1 Si 0.2500 0.2500 0.2500 1
Se1 Se 0.0000 0.0000 0.5000 1
```

**Energy above the most stable polymorph in this dataset**: 291 meV/atom
**D(E_F)**: 5.810 states/eV per cell
**Uncorrected formation energy**: 3.05 eV per formula unit

Material: TiBeN2F
Method: DFT, meta-GGA SCAN
State: single point on PBEsol structure

The structure in CIF format:
```
data_TiBeN2F
_chemical_formula_sum 'Ti1 Be1 N2 F1'
_symmetry_space_group_name_H-M 'P 4/m m m'
_symmetry_Int_Tables_number 123
_symmetry_space_group_name_Hall '-P 4 2'
_cell_length_a 3.5073
_cell_length_b 3.5073
_cell_length_c 3.2444
_cell_angle_alpha 90.00
_cell_angle_beta 90.00
_cell_angle_gamma 90.00
loop_
_atom_site_label
_atom_site_type_symbol
_atom_site_fract_x
_atom_site_fract_y
_atom_site_fract_z
_atom_site_occupancy
Ti1 Ti 0.0000 0.0000 0.0000 1
Be1 Be 0.5000 0.5000 0.5000 1
N1 N 0.0000 0.5000 0.5000 1
F1 F 0.5000 0.5000 0.0000 1
```

**D(E_F)**: 1.398 states/eV per cell
**Uncorrected formation energy**: -3.88 eV per formula unit

In μB per cell, the total magnetization values for the records above are, in order, 0.0; 2.1; 2.6; 4.1; 0.0; 0.0; 0.7; 6.5; 0.0; 0.0; 3.0; 0.0; 18.0; 0.0; 6.0; 1.9; 0.0; 5.9; 0.0; 0.0.
In eV per atom, the E values for the records above are, in order, -43.59; -57.85; -48.89; -14.81; -13.66; -17.19; -35.29; -14.23; -26.52; -37.45; -19.39; -31.75; -38.26; -7.36; -13.89; -35.64; -55.35; -19.03; -16.87; -9.28.